Material: GaSi2Se6
Method: DFT, GGA-PBE
State: optimized geometry

a = 9.3066 Å, b = 9.3066 Å, c = 6.2937 Å
α = 106.52°, β = 106.52°, γ = 94.44°
Last column: nearest neighbours and their distance in Å.
Element x y z (fractional)
Ga 0.2070 0.7930 0.7500  4 Se 2.43-2.49
Ga 0.7930 0.2070 0.2500  4 Se 2.43-2.49
Si 0.2047 0.3572 0.6539  4 Se 2.29-2.32
Si 0.3572 0.2047 0.1539  4 Se 2.29-2.32
Si 0.6428 0.7953 0.8461  4 Se 2.29-2.32
Si 0.7953 0.6428 0.3461  4 Se 2.29-2.32
Se 0.0052 0.8164 0.4105  1 Si 2.30, 1 Ga 2.49
Se 0.1489 0.5754 0.8711  1 Si 2.29, 1 Ga 2.43
Se 0.1836 0.9948 0.0895  1 Si 2.30, 1 Ga 2.49
Se 0.2706 0.4116 0.3546  2 Si 2.31-2.32
Se 0.4116 0.2706 0.8546  2 Si 2.31-2.32
Se 0.4246 0.8511 0.6289  1 Si 2.29, 1 Ga 2.43
Se 0.5754 0.1489 0.3711  1 Si 2.29, 1 Ga 2.43
Se 0.5884 0.7294 0.1454  2 Si 2.31-2.32
Se 0.7294 0.5884 0.6454  2 Si 2.31-2.32
Se 0.8164 0.0052 0.9105  1 Si 2.30, 1 Ga 2.49
Se 0.8511 0.4246 0.1289  1 Si 2.29, 1 Ga 2.43
Se 0.9948 0.1836 0.5895  1 Si 2.30, 1 Ga 2.49

- DOS(E_F) (states/eV per cell) = 8.33
- symmetry = C2/c (15)
- mass density (Mg/m³) = 4.035
- total DFT energy (no corrections) (eV for the cell shown) = -75.9
- magnetization (μB/cell) = 0.0